Computed, not measured: an optimized crystal structure of MgSc2Fe at the GGA-PBEsol level of DFT.

The structure in CIF format:
```
data_MgSc2Fe
_cell_length_a 3.1028
_cell_length_b 3.1028
_cell_length_c 7.8243
_cell_angle_alpha 90.00
_cell_angle_beta 90.00
_cell_angle_gamma 90.00
_space_group_name_H-M_alt 'P 4/m m m'
_space_group_IT_number 123
_space_group_name_Hall '-P 4 2'
loop_
_atom_site_label
_atom_site_type_symbol
_atom_site_fract_x
_atom_site_fract_y
_atom_site_fract_z
Mg1 Mg 0.0000 0.0000 0.0000
Sc1 Sc 0.5000 0.5000 0.3115
Fe1 Fe 0.0000 0.0000 0.5000
```

Summary:
- Total magnetization: 0.000 μB per cell
- DOS(E_F): 1.8 states/eV per cell
- Formation energy: -0.59 eV/f.u.

---

Computed, not measured: an optimized crystal structure of GaSiSe2 at the GGA-PBEsol level of DFT.

The structure in CIF format:
```
data_GaSiSe2
_cell_length_a 3.6214
_cell_length_b 3.6214
_cell_length_c 23.8171
_cell_angle_alpha 90.00
_cell_angle_beta 90.00
_cell_angle_gamma 120.00
_space_group_name_H-M_alt 'R -3 m'
_space_group_IT_number 166
_space_group_name_Hall '-R 3 2"'
loop_
_atom_site_label
_atom_site_type_symbol
_atom_site_fract_x
_atom_site_fract_y
_atom_site_fract_z
Ga1 Ga 0.0000 0.0000 0.0000
Si1 Si 0.0000 0.0000 0.5000
Se1 Se 0.0000 0.0000 0.3948
```

Summary:
- Total magnetization: 0.000 μB per cell
- E_form (uncorrected): 8 kJ per mole of atoms
- DOS(E_F): 2.8 states/eV per cell

---

Computed, not measured: an optimized crystal structure of CrRe2Si at the GGA-PBEsol level of DFT.

The structure in CIF format:
```
data_CrRe2Si
_cell_length_a 2.7657
_cell_length_b 3.8848
_cell_length_c 4.9514
_cell_angle_alpha 90.00
_cell_angle_beta 90.00
_cell_angle_gamma 90.00
_space_group_name_H-M_alt 'P m m 2'
_space_group_IT_number 25
_space_group_name_Hall 'P 2 -2'
loop_
_atom_site_label
_atom_site_type_symbol
_atom_site_fract_x
_atom_site_fract_y
_atom_site_fract_z
Cr1 Cr 0.0000 0.0000 0.0000
Re1 Re 0.0000 0.0000 0.5269
Re2 Re 0.5000 0.5000 0.2644
Si1 Si 0.5000 0.5000 0.7734
```

Summary:
- Total magnetization: 0.007 μB per cell
- E_form (uncorrected): -6 kJ per mole of atoms
- DOS(E_F): 3.6 states/eV per cell